[1]
## Pm6Tl6In (PBE-GGA)

Data for Pm6Tl6In after structural relaxation.

Results
The calculation puts the calculated volume at 403 Å³/cell. The energy of formation from the pure elements comes out at -0.232 eV/atom. The calculation puts the density of states at the Fermi level at 15.57 states/eV per cell.

a = 6.596 Å, b = 6.596 Å, c = 10.690 Å
α = 90.00°, β = 90.00°, γ = 120.00°
Element x y z (fractional)
1 Pm 0.000 0.000 0.692
2 Pm 0.000 0.000 0.308
3 Pm 0.333 0.667 0.000
4 Pm 0.667 0.333 0.000
5 Pm 0.333 0.667 0.500
6 Pm 0.667 0.333 0.500
7 Tl 0.000 0.500 0.749
8 Tl 0.500 0.000 0.749
9 Tl 0.500 0.500 0.749
10 Tl 0.500 0.000 0.251
11 Tl 0.000 0.500 0.251
12 Tl 0.500 0.500 0.251
13 In 0.000 0.000 0.000



[2]
## Pm11Tl4In9 (PBE-GGA)

Data for Pm11Tl4In9 after structural relaxation.

Results
The calculation puts the calculated volume at 691 Å³/cell. The energy of formation from the pure elements comes out at -0.410 eV/atom. The calculation puts the density of states at the Fermi level at 15.60 states/eV per cell.

a = 4.447 Å, b = 12.949 Å, c = 12.949 Å
α = 112.17°, β = 90.00°, γ = 90.00°
Element x y z (fractional)
1 Pm 0.000 0.589 0.934
2 Pm 0.000 0.411 0.066
3 Pm 0.000 0.934 0.589
4 Pm 0.000 0.066 0.411
5 Pm 0.000 0.642 0.358
6 Pm 0.000 0.358 0.642
7 Pm 0.000 0.830 0.170
8 Pm 0.000 0.170 0.830
9 Pm 0.000 0.000 0.000
10 Pm 0.000 0.729 0.729
11 Pm 0.000 0.271 0.271
12 Tl 0.500 0.554 0.748
13 Tl 0.500 0.446 0.252
14 Tl 0.500 0.748 0.554
15 Tl 0.500 0.252 0.446
16 In 0.500 0.629 0.145
17 In 0.500 0.371 0.855
18 In 0.500 0.145 0.629
19 In 0.500 0.855 0.371
20 In 0.500 0.796 0.954
21 In 0.500 0.204 0.046
22 In 0.500 0.954 0.796
23 In 0.500 0.046 0.204
24 In 0.500 0.500 0.500



[3]
## Pm8Tl2In3 (PBE-GGA)

Data for Pm8Tl2In3 after structural relaxation.

Results
The calculation puts the calculated volume at 418 Å³/cell. The energy of formation from the pure elements comes out at -0.182 eV/atom. The calculation puts the density of states at the Fermi level at 14.37 states/eV per cell.

a = 5.677 Å, b = 8.864 Å, c = 9.411 Å
α = 118.10°, β = 90.02°, γ = 90.00°
Element x y z (fractional)
1 Pm 0.001 0.686 0.372
2 Pm 0.999 0.314 0.628
3 Pm 0.000 0.104 0.208
4 Pm 0.000 0.896 0.792
5 Pm 0.500 0.595 0.771
6 Pm 0.500 0.176 0.771
7 Pm 0.500 0.824 0.229
8 Pm 0.500 0.405 0.229
9 Tl 0.499 0.225 0.449
10 Tl 0.501 0.775 0.551
11 In 0.500 0.000 0.000
12 In 0.000 0.329 0.000
13 In 0.000 0.671 0.000



[4]
## Pm3TlIn (PBE-GGA)

Data for Pm3TlIn after structural relaxation.

Results
For the energy above the lowest structure with this stoichiometry, the calculation gives 108 meV/atom. The calculation puts the calculated volume at 331 Å³/cell. The energy of formation from the pure elements comes out at -0.218 eV/atom. The calculation puts the density of states at the Fermi level at 11.05 states/eV per cell.

a = 4.985 Å, b = 7.272 Å, c = 9.125 Å
α = 90.00°, β = 90.00°, γ = 90.00°
Element x y z (fractional)
1 Pm 0.750 0.750 0.065
2 Pm 0.250 0.250 0.935
3 Pm 0.750 0.995 0.702
4 Pm 0.750 0.505 0.702
5 Pm 0.250 0.005 0.298
6 Pm 0.250 0.495 0.298
7 Tl 0.750 0.750 0.411
8 Tl 0.250 0.250 0.589
9 In 0.750 0.250 0.144
10 In 0.250 0.750 0.856



[5]
## Pm8Tl2In (PBE-GGA)

Data for Pm8Tl2In after structural relaxation.

Results
For the energy above the lowest structure with this stoichiometry, the calculation gives 37 meV/atom. The calculation puts the calculated volume at 353 Å³/cell. The energy of formation from the pure elements comes out at -0.179 eV/atom. The calculation puts the density of states at the Fermi level at 12.53 states/eV per cell.

a = 5.327 Å, b = 7.317 Å, c = 9.867 Å
α = 107.06°, β = 105.66°, γ = 90.00°
Element x y z (fractional)
1 Pm 0.408 0.534 0.817
2 Pm 0.662 0.963 0.324
3 Pm 0.800 0.697 0.599
4 Pm 0.985 0.240 0.970
5 Pm 0.200 0.303 0.401
6 Pm 0.338 0.037 0.676
7 Pm 0.592 0.466 0.183
8 Pm 0.015 0.760 0.030
9 Tl 0.820 0.280 0.639
10 Tl 0.180 0.720 0.361
11 In 0.500 0.000 0.000



[6]
## Pm2Tl4In (PBE-GGA)

Data for Pm2Tl4In after structural relaxation.

Results
The calculation puts the calculated volume at 223 Å³/cell. The energy of formation from the pure elements comes out at -0.030 eV/atom. The calculation puts the density of states at the Fermi level at 4.63 states/eV per cell.

a = 5.934 Å, b = 5.934 Å, c = 7.600 Å
α = 112.98°, β = 112.98°, γ = 90.00°
Element x y z (fractional)
1 Tl 0.750 0.250 0.500
2 Tl 0.250 0.750 0.500
3 Tl 0.500 0.000 0.000
4 Tl 0.000 0.500 0.000
5 In 0.000 0.000 0.000
6 Pm 0.646 0.646 0.293
7 Pm 0.354 0.354 0.707



[7]
## Pm3Tl2In2 (PBE-GGA)

Data for Pm3Tl2In2 after structural relaxation.

Results
The calculation puts the calculated volume at 199 Å³/cell. The energy of formation from the pure elements comes out at -0.407 eV/atom. The calculation puts the density of states at the Fermi level at 5.86 states/eV per cell.

a = 4.685 Å, b = 3.646 Å, c = 11.861 Å
α = 90.00°, β = 78.61°, γ = 90.00°
Element x y z (fractional)
1 Pm 0.844 0.000 0.312
2 Pm 0.000 0.000 0.000
3 Pm 0.156 0.000 0.688
4 Tl 0.574 0.500 0.852
5 Tl 0.426 0.500 0.148
6 In 0.714 0.500 0.572
7 In 0.286 0.500 0.428



[8]
## Pm3TlIn2 (PBE-GGA)

Data for Pm3TlIn2 after structural relaxation.

Results
The calculation puts the calculated volume at 173 Å³/cell. The energy of formation from the pure elements comes out at -0.461 eV/atom. The calculation puts the density of states at the Fermi level at 4.14 states/eV per cell.

a = 3.847 Å, b = 3.847 Å, c = 11.661 Å
α = 90.00°, β = 90.00°, γ = 90.00°
Element x y z (fractional)
1 Pm 0.000 0.000 0.000
2 Pm 0.000 0.000 0.670
3 Pm 0.000 0.000 0.330
4 Tl 0.500 0.500 0.500
5 In 0.500 0.500 0.834
6 In 0.500 0.500 0.166